{"formula": "TbHoGePt", "functional": "PBE-GGA", "state": "optimized geometry", "lattice_angstrom": [[3.925, 0.000, 0.000], [0.000, 4.272, 0.000], [-1.962, 0.000, 5.427]], "species": ["Ge", "Ho", "Tb", "Pt"], "fractional_positions": [[0.583, 0.500, 0.166], [0.140, 0.000, 0.281], [0.861, 0.500, 0.722], [0.416, 0.000, 0.832]], "de_polymorph_kj_per_mol_fu": 0, "final_energy_ev_per_cell": -24.2, "magmom_total_mub_per_atom": 0.0000, "dos_at_fermi_per_ev_atom": 0.401, "ef_ev_per_atom": -1.08}

***

{"formula": "Pm2CoPb", "functional": "PBE-GGA", "state": "optimized geometry", "lattice_angstrom": [[3.493, 0.000, 0.000], [0.000, 3.493, 0.000], [0.000, 0.000, 8.267]], "species": ["Pm", "Pm", "Pb", "Co"], "fractional_positions": [[0.000, 0.000, 0.204], [0.000, 0.000, 0.796], [0.500, 0.500, 0.500], [0.500, 0.500, 0.000]], "final_energy_ev_per_cell": -21.3, "magmom_total_mub_per_atom": 0.1045, "dos_at_fermi_per_ev_atom": 0.751, "ef_ev_per_atom": -0.24}

***

{"formula": "LaCuPb2S4", "functional": "PBE-GGA", "state": "optimized geometry", "lattice_angstrom": [[-2.791, 2.191, 1.911], [-3.067, -5.824, -2.050], [3.655, -6.377, 12.650]], "species": ["S", "S", "S", "S", "S", "S", "S", "S", "Pb", "Pb", "Pb", "Pb", "La", "La", "Cu", "Cu"], "fractional_positions": [[0.000, 0.000, 0.500], [0.710, 0.421, 0.864], [0.442, 0.884, 0.750], [0.290, 0.579, 0.136], [0.558, 0.116, 0.250], [0.290, 0.579, 0.364], [0.000, 0.000, 0.000], [0.710, 0.421, 0.636], [0.636, 0.271, 0.443], [0.364, 0.729, 0.943], [0.636, 0.271, 0.057], [0.364, 0.729, 0.557], [0.108, 0.216, 0.750], [0.892, 0.784, 0.250], [0.840, 0.679, 0.750], [0.160, 0.321, 0.250]], "final_energy_ev_per_cell": -80.9, "magmom_total_mub_per_atom": 0.0000, "formation_energy_uncorrected_ev_per_atom": -0.940}